(1)
An optimized crystal structure of RbPmTi2O6, computed with GGA-PBE.

Cell: 11.183 10.930 6.403 Å, 90.00 108.90 90.00°
Space group C2/c (No. 15)
Inequivalent atoms, fractional coordinates:
1 Rb 0.000 0.093 0.250 (multiplicity 4)
2 Pm 0.000 0.285 0.750 (multiplicity 4)
3 Ti 0.206 0.420 0.173 (multiplicity 8)
4 O 0.100 0.297 0.126 (multiplicity 8)
5 O 0.134 0.135 0.712 (multiplicity 8)
6 O 0.167 0.464 0.868 (multiplicity 8)

Calculated values
D(E_F) ... 0.000 states/eV/f.u.
ΔE_f (raw) ... -2917 meV/atom



(2)
An optimized crystal structure of Ir2RhS, computed with GGA-PBE.

Cell: 5.001 5.001 12.269 Å, 90.00 90.00 90.00°
Space group I-42d (No. 122)
Inequivalent atoms, fractional coordinates:
1 Ir 0.203 0.250 0.125 (multiplicity 8)
2 Rh 0.000 0.000 0.500 (multiplicity 4)
3 S 0.000 0.000 0.000 (multiplicity 4)

Calculated values
D(E_F) ... 4.167 states/eV/f.u.
ΔE_f (raw) ... 595 meV/atom



(3)
An optimized crystal structure of La4IrSI2, computed with GGA-PBE.

Cell: 7.606 4.176 8.331 Å, 90.00 107.15 90.00°
Space group P2/m (No. 10)
Inequivalent atoms, fractional coordinates:
1 La 0.214 0.000 0.190 (multiplicity 2)
2 La 0.272 0.500 0.804 (multiplicity 2)
3 Ir 0.000 0.500 0.000 (multiplicity 1)
4 S 0.500 0.000 0.000 (multiplicity 1)
5 I 0.000 0.000 0.500 (multiplicity 1)
6 I 0.500 0.500 0.500 (multiplicity 1)

Calculated values
D(E_F) ... 5.756 states/eV/f.u.
ΔE_f (raw) ... -1323 meV/atom



(4)
An optimized crystal structure of DyTlCuRh, computed with GGA-PBE.

Cell: 6.735 6.735 6.735 Å, 90.00 90.00 90.00°
Space group F-43m (No. 216)
Inequivalent atoms, fractional coordinates:
1 Dy 0.000 0.000 0.000 (multiplicity 4)
2 Tl 0.000 0.000 0.500 (multiplicity 4)
3 Cu 0.250 0.250 0.750 (multiplicity 4)
4 Rh 0.250 0.250 0.250 (multiplicity 4)

Calculated values
D(E_F) ... 3.174 states/eV/f.u.
DFT formation energy ... -283.7 meV/atom



(5)
An optimized crystal structure of InSb2Rh, computed with GGA-PBE.

Cell: 6.337 6.337 12.374 Å, 90.00 90.00 90.00°
Space group I-42d (No. 122)
Inequivalent atoms, fractional coordinates:
1 In 0.000 0.000 0.000 (multiplicity 4)
2 Sb 0.197 0.250 0.625 (multiplicity 8)
3 Rh 0.000 0.000 0.500 (multiplicity 4)

Calculated values
D(E_F) ... 2.368 states/eV/f.u.
ΔE_f (raw) ... 8 meV/atom



(6)
An optimized crystal structure of FeRe2Rh, computed with GGA-PBE.

Cell: 2.701 2.701 7.593 Å, 90.00 90.00 90.00°
Space group P4mm (No. 99)
Inequivalent atoms, fractional coordinates:
1 Fe 0.000 0.000 0.000 (multiplicity 1)
2 Re 0.000 0.000 0.501 (multiplicity 1)
3 Re 0.500 0.500 0.223 (multiplicity 1)
4 Rh 0.500 0.500 0.751 (multiplicity 1)

Calculated values
D(E_F) ... 3.962 states/eV/f.u.
DFT formation energy ... 39.9 meV/atom



(7)
An optimized crystal structure of LaCeCu2, computed with GGA-PBE.

Cell: 3.614 3.614 7.090 Å, 90.00 90.00 90.00°
Space group P4/mmm (No. 123)
Inequivalent atoms, fractional coordinates:
1 La 0.000 0.000 0.000 (multiplicity 1)
2 Ce 0.000 0.000 0.500 (multiplicity 1)
3 Cu 0.500 0.500 0.275 (multiplicity 2)

Calculated values
D(E_F) ... 7.542 states/eV/f.u.
DFT formation energy ... -71.0 meV/atom



(8)
An optimized crystal structure of KGaGe, computed with GGA-PBE.

Cell: 4.300 4.535 8.452 Å, 90.00 90.00 90.00°
Space group Pmm2 (No. 25)
Inequivalent atoms, fractional coordinates:
1 K 0.000 0.000 0.000 (multiplicity 1)
2 K 0.500 0.500 0.319 (multiplicity 1)
3 Ga 0.000 0.000 0.462 (multiplicity 1)
4 Ga 0.500 0.000 0.664 (multiplicity 1)
5 Ge 0.000 0.500 0.658 (multiplicity 1)
6 Ge 0.500 0.500 0.848 (multiplicity 1)

Calculated values
D(E_F) ... 0.529 states/eV/f.u.
DFT formation energy ... -87.9 meV/atom



(9)
An optimized crystal structure of HgSb2Pb2, computed with GGA-PBE.

Cell: 4.778 4.778 15.288 Å, 90.00 90.00 90.00°
Space group I4/mmm (No. 139)
Inequivalent atoms, fractional coordinates:
1 Hg 0.000 0.000 0.000 (multiplicity 2)
2 Sb 0.000 0.500 0.250 (multiplicity 4)
3 Pb 0.000 0.000 0.387 (multiplicity 4)

Calculated values
D(E_F) ... 1.212 states/eV/f.u.
ΔE_f (raw) ... 96 meV/atom



(10)
An optimized crystal structure of Li2LaPd2, computed with GGA-PBE.

Cell: 3.937 3.937 12.790 Å, 90.00 90.00 90.00°
Space group I4/mmm (No. 139)
Inequivalent atoms, fractional coordinates:
1 Li 0.000 0.500 0.250 (multiplicity 4)
2 La 0.000 0.000 0.000 (multiplicity 2)
3 Pd 0.000 0.000 0.392 (multiplicity 4)

Calculated values
D(E_F) ... 2.550 states/eV/f.u.
DFT formation energy ... -564.6 meV/atom



(11)
An optimized crystal structure of GdErHf, computed with GGA-PBE.

Cell: 3.3791 3.3791 8.4160 Å, 90.00 90.00 120.00°
Space group P3m1 (No. 156)
Inequivalent atoms, fractional coordinates:
1 Gd 0.0000 0.0000 0.0000 (multiplicity 1)
2 Er 0.6667 0.3333 0.3755 (multiplicity 1)
3 Hf 0.3333 0.6667 0.6851 (multiplicity 1)

Calculated values
D(E_F) ... 3.855 states/eV/f.u.
DFT formation energy ... 131.1 meV/atom



(12)
An optimized crystal structure of LiLaTa4, computed with GGA-PBE.

Cell: 8.082 8.082 8.082 Å, 90.00 90.00 90.00°
Space group F-43m (No. 216)
Inequivalent atoms, fractional coordinates:
1 Li 0.000 0.000 0.000 (multiplicity 4)
2 La 0.250 0.250 0.250 (multiplicity 4)
3 Ta 0.123 0.123 0.623 (multiplicity 16)

Calculated values
D(E_F) ... 8.067 states/eV/f.u.
DFT formation energy ... 564.9 meV/atom